(w)
# B2Pt2S

A relaxed structure of B2Pt2S (PBE-GGA, Alexandria via LeMat-Bulk).

Results
density of states at the Fermi level	1.7	states/eV/cell
crystal system	tetragonal
SG	No. 127

Lattice parameters (Å, degrees): 6.610 6.610 2.849 90.00 90.00 90.00
Fractional positions:
Pt 0.146 0.646 0.500
Pt 0.854 0.354 0.500
Pt 0.646 0.854 0.500
Pt 0.354 0.146 0.500
B 0.122 0.378 0.000
B 0.878 0.622 0.000
B 0.622 0.122 0.000
B 0.378 0.878 0.000
S 0.000 0.000 0.000
S 0.500 0.500 0.000

=====

(x)
# B2Pt2S

A relaxed structure of B2Pt2S (PBE-GGA, Alexandria via LeMat-Bulk).

Results
density of states at the Fermi level	0.6	states/eV/cell
crystal system	tetragonal
SG	No. 139

Lattice parameters (Å, degrees): 3.973 3.973 4.865 65.90 65.90 90.00
Fractional positions:
B 0.393 0.393 0.214
B 0.607 0.607 0.786
Pt 0.250 0.750 0.500
Pt 0.750 0.250 0.500
S 0.000 0.000 0.000

=====

Result of the stability comparison: (w) is the least stable of them.

=====

(w)
# BSbPt3

A relaxed structure of BSbPt3 (PBE-GGA, Alexandria via LeMat-Bulk).

Results
density of states at the Fermi level	2.0	states/eV/cell
crystal system	cubic
SG	No. 221

Lattice parameters (Å, degrees): 4.328 4.328 4.328 90.00 90.00 90.00
Fractional positions:
Pt 0.000 0.500 0.000
Pt 0.500 0.000 0.000
Pt 0.000 0.000 0.500
Sb 0.500 0.500 0.500
B 0.000 0.000 0.000

=====

(x)
# BSbPt3

A relaxed structure of BSbPt3 (PBE-GGA, Alexandria via LeMat-Bulk).

Results
density of states at the Fermi level	1.7	states/eV/cell
crystal system	cubic
SG	No. 221

Lattice parameters (Å, degrees): 4.967 4.967 4.967 90.00 90.00 90.00
Fractional positions:
Pt 0.000 0.000 0.500
Pt 0.500 0.000 0.000
Pt 0.000 0.500 0.000
B 0.500 0.500 0.500
Sb 0.000 0.000 0.000

=====

Result of the stability comparison: (x) is the least stable of them.

=====

(w)
# BSbPt2

A relaxed structure of BSbPt2 (PBE-GGA, Alexandria via LeMat-Bulk).

Results
density of states at the Fermi level	1.8	states/eV/cell
crystal system	cubic
SG	No. 225

Lattice parameters (Å, degrees): 4.474 4.474 4.474 60.00 60.00 60.00
Fractional positions:
B 0.000 0.000 0.000
Pt 0.250 0.250 0.250
Pt 0.750 0.750 0.750
Sb 0.500 0.500 0.500

=====

(x)
# BSbPt2

A relaxed structure of BSbPt2 (PBE-GGA, Alexandria via LeMat-Bulk).

Results
density of states at the Fermi level	2.4	states/eV/cell
crystal system	trigonal
SG	No. 166

Lattice parameters (Å, degrees): 3.479 3.479 6.533 74.56 74.56 60.00
Fractional positions:
Pt 0.720 0.720 0.840
Pt 0.280 0.280 0.160
Sb 0.500 0.500 0.500
B 0.000 0.000 0.000

=====

Result of the stability comparison: (w) is the least stable of them.